Record 1
DFT (PBE-GGA) results for crystalline PmMgSi2Pt2 at its relaxed geometry.

Output
Spin magnetization   0.0 μB per formula unit
Formation energy from raw total energies   -954.5 meV per atom
Fermi-level density of states   2.5 states/eV per cell
V   110 Å³ per cell
SG   P-3m1

Cell lengths 4.2605, 4.2605, 6.9658 Å; angles 90.00, 90.00, 120.00 degrees
Positions (direct):
Pm 0.0000 0.0000 0.0000
Mg 0.0000 0.0000 0.5000
Si 0.3333 0.6667 0.2925
Si 0.6667 0.3333 0.7075
Pt 0.3333 0.6667 0.6944
Pt 0.6667 0.3333 0.3056

=====

Record 2
DFT (PBE-GGA) results for crystalline CeScTi2 at its relaxed geometry.

Output
Spin magnetization   0.0 μB per formula unit
Fermi-level density of states   6.4 states/eV per cell
V   84 Å³ per cell
SG   P4/mmm
Energy relative to the lowest polymorph listed for this composition   23 meV/atom
Formation energy from the elements   199 meV/atom

Cell lengths 3.6188, 3.6188, 6.4390 Å; angles 90.00, 90.00, 90.00 degrees
Positions (direct):
Ce 0.0000 0.0000 0.0000
Sc 0.0000 0.0000 0.5000
Ti 0.5000 0.5000 0.2202
Ti 0.5000 0.5000 0.7798

=====

Record 3
DFT (PBE-GGA) results for crystalline Ba3Be2SnO6 at its relaxed geometry.

Output
Spin magnetization   0.0 μB per formula unit
Formation energy from raw total energies   -2241.4 meV per atom
Fermi-level density of states   0.0 states/eV per cell
V   215 Å³ per cell
SG   P-3m1

Cell lengths 5.8819, 5.8819, 7.1618 Å; angles 90.00, 90.00, 120.00 degrees
Positions (direct):
Ba 0.0000 0.0000 0.0000
Ba 0.3333 0.6667 0.6794
Ba 0.6667 0.3333 0.3206
Be 0.3333 0.6667 0.2588
Be 0.6667 0.3333 0.7412
Sn 0.0000 0.0000 0.5000
O 0.1816 0.3633 0.2742
O 0.1816 0.8184 0.2742
O 0.3633 0.1816 0.7258
O 0.6367 0.8184 0.2742
O 0.8184 0.1816 0.7258
O 0.8184 0.6367 0.7258

=====

Record 4
DFT (PBE-GGA) results for crystalline KZrIn at its relaxed geometry.

Output
Spin magnetization   0.0 μB per formula unit
Fermi-level density of states   5.6 states/eV per cell
V   179 Å³ per cell
SG   I4mm
Energy relative to the lowest polymorph listed for this composition   338 meV/atom
Formation energy from the elements   286 meV/atom

Cell lengths 3.2929, 3.2929, 16.4892 Å; angles 90.00, 90.00, 90.00 degrees
Positions (direct):
K 0.0000 0.0000 0.0000
K 0.5000 0.5000 0.5000
Zr 0.0000 0.0000 0.7061
Zr 0.5000 0.5000 0.2061
In 0.0000 0.0000 0.3273
In 0.5000 0.5000 0.8273

=====

Record 5
DFT (PBE-GGA) results for crystalline Na2LaCo at its relaxed geometry.

Output
Spin magnetization   0.9 μB per formula unit
Fermi-level density of states   36.8 states/eV per cell
V   405 Å³ per cell
SG   Fm-3m
Energy relative to the lowest polymorph listed for this composition   374 meV/atom
Formation energy from the elements   744 meV/atom

Cell lengths 7.3967, 7.3967, 7.3967 Å; angles 90.00, 90.00, 90.00 degrees
Positions (direct):
Na 0.2500 0.2500 0.2500
Na 0.2500 0.2500 0.7500
Na 0.2500 0.7500 0.2500
Na 0.2500 0.7500 0.7500
Na 0.7500 0.2500 0.2500
Na 0.7500 0.2500 0.7500
Na 0.7500 0.7500 0.2500
Na 0.7500 0.7500 0.7500
La 0.0000 0.0000 0.0000
La 0.0000 0.5000 0.5000
La 0.5000 0.0000 0.5000
La 0.5000 0.5000 0.0000
Co 0.0000 0.0000 0.5000
Co 0.0000 0.5000 0.0000
Co 0.5000 0.0000 0.0000
Co 0.5000 0.5000 0.5000

=====

Record 6
DFT (PBE-GGA) results for crystalline AlCo2Pb at its relaxed geometry.

Output
Spin magnetization   0.0 μB per formula unit
Fermi-level density of states   7.2 states/eV per cell
V   120 Å³ per cell
SG   P2_1/m
Energy relative to the lowest polymorph listed for this composition   130 meV/atom
Formation energy from the elements   94 meV/atom

Cell lengths 5.2212, 3.9806, 6.2471 Å; angles 90.00, 112.48, 90.00 degrees
Positions (direct):
Al 0.1972 0.2500 0.0969
Al 0.8028 0.7500 0.9031
Co 0.1325 0.7500 0.3001
Co 0.2962 0.7500 0.9177
Co 0.7038 0.2500 0.0823
Co 0.8675 0.2500 0.6999
Pb 0.3257 0.2500 0.6273
Pb 0.6743 0.7500 0.3727

=====

Record 7
DFT (PBE-GGA) results for crystalline SrGaAgO3 at its relaxed geometry.

Output
Spin magnetization   0.0 μB per formula unit
Formation energy from raw total energies   -1510.0 meV per atom
V   190 Å³ per cell
SG   C2/m

Cell lengths 5.8841, 5.8841, 6.7324 Å; angles 112.71, 112.71, 67.04 degrees
Positions (direct):
Sr 0.2017 0.2017 0.1447
Sr 0.7983 0.7983 0.8553
Ga 0.4328 0.4328 0.7541
Ga 0.5672 0.5672 0.2459
Ag 0.2114 0.7886 0.5000
Ag 0.7886 0.2114 0.5000
O 0.2104 0.6544 0.1452
O 0.2364 0.2364 0.5498
O 0.3456 0.7896 0.8548
O 0.6544 0.2104 0.1452
O 0.7636 0.7636 0.4502
O 0.7896 0.3456 0.8548

=====

Record 8
DFT (PBE-GGA) results for crystalline La3ZnCd2 at its relaxed geometry.

Output
Spin magnetization   0.2 μB per formula unit
Fermi-level density of states   7.4 states/eV per cell
V   175 Å³ per cell
SG   P4/mmm
Energy relative to the lowest polymorph listed for this composition   0 meV/atom
Formation energy from the elements   -326 meV/atom

Cell lengths 3.8588, 3.8588, 11.7232 Å; angles 90.00, 90.00, 90.00 degrees
Positions (direct):
La 0.0000 0.0000 0.0000
La 0.0000 0.0000 0.3516
La 0.0000 0.0000 0.6484
Zn 0.5000 0.5000 0.5000
Cd 0.5000 0.5000 0.1744
Cd 0.5000 0.5000 0.8256

=====

Record 9
DFT (PBE-GGA) results for crystalline CuNi2Ge2 at its relaxed geometry.

Output
Spin magnetization   0.0 μB per formula unit
Fermi-level density of states   5.0 states/eV per cell
V   146 Å³ per cell
SG   I4/mmm
Energy relative to the lowest polymorph listed for this composition   384 meV/atom
Formation energy from the elements   168 meV/atom

Cell lengths 3.6986, 3.6986, 10.6999 Å; angles 90.00, 90.00, 90.00 degrees
Positions (direct):
Cu 0.0000 0.0000 0.0000
Cu 0.5000 0.5000 0.5000
Ni 0.0000 0.0000 0.3912
Ni 0.0000 0.0000 0.6088
Ni 0.5000 0.5000 0.1088
Ni 0.5000 0.5000 0.8912
Ge 0.0000 0.5000 0.2500
Ge 0.0000 0.5000 0.7500
Ge 0.5000 0.0000 0.2500
Ge 0.5000 0.0000 0.7500

=====

Record 10
DFT (PBE-GGA) results for crystalline Rb2LaTeCl6 at its relaxed geometry.

Output
Spin magnetization   1.0 μB per formula unit
Formation energy from raw total energies   -1559.6 meV per atom
Fermi-level density of states   3.2 states/eV per cell
V   412 Å³ per cell
SG   I4/mmm

Cell lengths 8.6446, 8.6446, 8.6446 Å; angles 125.58, 125.58, 80.59 degrees
Positions (direct):
Rb 0.2500 0.7500 0.5000
Rb 0.7500 0.2500 0.5000
La 0.0000 0.0000 0.0000
Te 0.5000 0.5000 0.0000
Cl 0.2094 0.2094 0.0000
Cl 0.2475 0.2475 0.4951
Cl 0.2475 0.7525 0.0000
Cl 0.7525 0.2475 0.0000
Cl 0.7525 0.7525 0.5049
Cl 0.7906 0.7906 0.0000

=====

Record 11
DFT (PBE-GGA) results for crystalline ReAg2Pt at its relaxed geometry.

Output
Spin magnetization   0.0 μB per formula unit
Fermi-level density of states   4.4 states/eV per cell
V   66 Å³ per cell
SG   P4mm
Energy relative to the lowest polymorph listed for this composition   0 meV/atom
Formation energy from the elements   181 meV/atom

Cell lengths 2.8081, 2.8081, 8.3100 Å; angles 90.00, 90.00, 90.00 degrees
Positions (direct):
Re 0.0000 0.0000 0.0000
Ag 0.0000 0.0000 0.5208
Ag 0.5000 0.5000 0.2572
Pt 0.5000 0.5000 0.7830

=====

Record 12
DFT (PBE-GGA) results for crystalline Nb2Tl2Te6Pd at its relaxed geometry.

Output
Spin magnetization   0.0 μB per formula unit
Formation energy from raw total energies   -271.4 meV per atom
Fermi-level density of states   8.2 states/eV per cell
V   344 Å³ per cell
SG   C2/m

Cell lengths 6.9189, 6.9189, 8.6540 Å; angles 95.97, 95.97, 121.74 degrees
Positions (direct):
Nb 0.1285 0.8715 0.0000
Nb 0.8715 0.1285 0.0000
Tl 0.3033 0.6967 0.5000
Tl 0.6967 0.3033 0.5000
Te 0.1127 0.4733 0.8257
Te 0.2476 0.2476 0.2253
Te 0.4733 0.1127 0.8257
Te 0.5267 0.8873 0.1743
Te 0.7524 0.7524 0.7747
Te 0.8873 0.5267 0.1743
Pd 0.5000 0.5000 0.0000

=====

Record 13
DFT (PBE-GGA) results for crystalline LaAlCd2 at its relaxed geometry.

Output
Spin magnetization   0.0 μB per formula unit
Fermi-level density of states   1.6 states/eV per cell
V   195 Å³ per cell
SG   C2
Formation energy from the elements   -248 meV/atom

Cell lengths 7.2895, 7.2989, 5.1657 Å; angles 90.00, 134.68, 90.00 degrees
Positions (direct):
La 0.0000 0.0000 0.0000
La 0.5000 0.5000 0.0000
Al 0.0000 0.2495 0.5000
Al 0.5000 0.7495 0.5000
Cd 0.0000 0.4999 0.0000
Cd 0.0000 0.7497 0.5000
Cd 0.5000 0.9999 0.0000
Cd 0.5000 0.2497 0.5000

=====

Record 14
DFT (PBE-GGA) results for crystalline Ca4YTc at its relaxed geometry.

Output
Spin magnetization   1.6 μB per formula unit
Fermi-level density of states   11.1 states/eV per cell
V   199 Å³ per cell
SG   F-43m
Formation energy from the elements   904 meV/atom

Cell lengths 6.5575, 6.5575, 6.5575 Å; angles 60.00, 60.00, 60.00 degrees
Positions (direct):
Ca 0.1241 0.1241 0.1241
Ca 0.1241 0.1241 0.6276
Ca 0.1241 0.6276 0.1241
Ca 0.6276 0.1241 0.1241
Y 0.5000 0.5000 0.5000
Tc 0.7500 0.7500 0.7500

=====

Record 15
DFT (PBE-GGA) results for crystalline La5Tb2Pm at its relaxed geometry.

Output
Spin magnetization   0.0 μB per formula unit
Fermi-level density of states   29.0 states/eV per cell
V   569 Å³ per cell
SG   I4/mcm
Energy relative to the lowest polymorph listed for this composition   0 meV/atom
Formation energy from the elements   124 meV/atom

Cell lengths 9.4592, 9.4592, 9.4592 Å; angles 123.00, 123.00, 84.88 degrees
Positions (direct):
La 0.0000 0.0000 0.0000
La 0.0164 0.5164 0.2023
La 0.1859 0.9836 0.5000
La 0.3141 0.8141 0.7977
La 0.4836 0.6859 0.5000
La 0.5000 0.5000 0.0000
La 0.5164 0.3141 0.5000
La 0.6859 0.1859 0.2023
La 0.8141 0.0164 0.5000
La 0.9836 0.4836 0.7977
Tb 0.1454 0.3546 0.5000
Tb 0.3546 0.8546 0.2093
Tb 0.6454 0.1454 0.7907
Tb 0.8546 0.6454 0.5000
Pm 0.2500 0.2500 0.0000
Pm 0.7500 0.7500 0.0000

=====

Record 16
DFT (PBE-GGA) results for crystalline PmPaRuN4 at its relaxed geometry.

Output
Spin magnetization   0.0 μB per formula unit
Formation energy from raw total energies   -838.3 meV per atom
Fermi-level density of states   8.1 states/eV per cell
V   183 Å³ per cell
SG   I4mm

Cell lengths 3.8726, 3.8726, 12.2199 Å; angles 90.00, 90.00, 90.00 degrees
Positions (direct):
Pm 0.0000 0.0000 0.0000
Pm 0.5000 0.5000 0.5000
Pa 0.0000 0.0000 0.7148
Pa 0.5000 0.5000 0.2148
Ru 0.0000 0.0000 0.3538
Ru 0.5000 0.5000 0.8538
N 0.0000 0.0000 0.1833
N 0.0000 0.0000 0.5404
N 0.0000 0.5000 0.3442
N 0.0000 0.5000 0.8442
N 0.5000 0.0000 0.3442
N 0.5000 0.0000 0.8442
N 0.5000 0.5000 0.0404
N 0.5000 0.5000 0.6833

=====

Record 17
DFT (PBE-GGA) results for crystalline MgHgRu2 at its relaxed geometry.

Output
Spin magnetization   2.7 μB per formula unit
Fermi-level density of states   7.8 states/eV per cell
V   133 Å³ per cell
SG   I4/mmm
Energy relative to the lowest polymorph listed for this composition   291 meV/atom
Formation energy from the elements   367 meV/atom

Cell lengths 3.9442, 3.9442, 8.5591 Å; angles 90.00, 90.00, 90.00 degrees
Positions (direct):
Mg 0.0000 0.0000 0.0000
Mg 0.5000 0.5000 0.5000
Hg 0.0000 0.0000 0.5000
Hg 0.5000 0.5000 0.0000
Ru 0.0000 0.5000 0.2500
Ru 0.0000 0.5000 0.7500
Ru 0.5000 0.0000 0.2500
Ru 0.5000 0.0000 0.7500

=====

Record 18
DFT (PBE-GGA) results for crystalline SrLiB9O15 at its relaxed geometry.

Output
Spin magnetization   0.0 μB per formula unit
Formation energy from raw total energies   -2524.8 meV per atom
Fermi-level density of states   0.0 states/eV per cell
V   601 Å³ per cell
SG   R3c

Cell lengths 8.6113, 8.6113, 8.6113 Å; angles 77.79, 77.79, 77.79 degrees
Positions (direct):
Sr 0.0000 0.0000 0.0000
Sr 0.5000 0.5000 0.5000
Li 0.2399 0.2399 0.2399
Li 0.7399 0.7399 0.7399
B 0.1112 0.7757 0.6322
B 0.1322 0.2757 0.6112
B 0.2184 0.7830 0.3406
B 0.2757 0.6112 0.1322
B 0.2830 0.7184 0.8406
B 0.2878 0.4299 0.9471
B 0.3406 0.2184 0.7830
B 0.4299 0.9471 0.2878
B 0.4471 0.9299 0.7878
B 0.6112 0.1322 0.2757
B 0.6322 0.1112 0.7757
B 0.7184 0.8406 0.2830
B 0.7757 0.6322 0.1112
B 0.7830 0.3406 0.2184
B 0.7878 0.4471 0.9299
B 0.8406 0.2830 0.7184
B 0.9299 0.7878 0.4471
B 0.9471 0.2878 0.4299
O 0.0121 0.2415 0.7384
O 0.0496 0.8147 0.3184
O 0.1058 0.2819 0.4542
O 0.1332 0.8031 0.7756
O 0.2384 0.7415 0.5121
O 0.2415 0.7384 0.0121
O 0.2675 0.2816 0.9333
O 0.2756 0.3031 0.6332
O 0.2819 0.4542 0.1058
O 0.2816 0.9333 0.2675
O 0.3031 0.6332 0.2756
O 0.3147 0.5496 0.8184
O 0.3184 0.0496 0.8147
O 0.4333 0.7816 0.7675
O 0.4542 0.1058 0.2819
O 0.5121 0.2384 0.7415
O 0.5496 0.8184 0.3147
O 0.6058 0.9542 0.7819
O 0.6332 0.2756 0.3031
O 0.7384 0.0121 0.2415
O 0.7415 0.5121 0.2384
O 0.7675 0.4333 0.7816
O 0.7756 0.1332 0.8031
O 0.7819 0.6058 0.9542
O 0.7816 0.7675 0.4333
O 0.8031 0.7756 0.1332
O 0.8147 0.3184 0.0496
O 0.8184 0.3147 0.5496
O 0.9333 0.2675 0.2816
O 0.9542 0.7819 0.6058

=====

Record 19
DFT (PBE-GGA) results for crystalline NaGa3Pb at its relaxed geometry.

Output
Spin magnetization   0.0 μB per formula unit
Fermi-level density of states   2.8 states/eV per cell
V   182 Å³ per cell
SG   Pm-3m
Energy relative to the lowest polymorph listed for this composition   0 meV/atom
Formation energy from the elements   454 meV/atom

Cell lengths 5.6662, 5.6662, 5.6662 Å; angles 90.00, 90.00, 90.00 degrees
Positions (direct):
Na 0.0000 0.0000 0.0000
Ga 0.0000 0.5000 0.5000
Ga 0.5000 0.0000 0.5000
Ga 0.5000 0.5000 0.0000
Pb 0.5000 0.5000 0.5000

=====

Record 20
DFT (PBE-GGA) results for crystalline Y2AgIN at its relaxed geometry.

Output
Spin magnetization   0.0 μB per formula unit
Formation energy from raw total energies   -397.4 meV per atom
Fermi-level density of states   5.0 states/eV per cell
V   113 Å³ per cell
SG   P4/mmm

Cell lengths 4.8036, 4.8036, 4.8993 Å; angles 90.00, 90.00, 90.00 degrees
Positions (direct):
Y 0.0000 0.5000 0.0000
Y 0.5000 0.0000 0.0000
Ag 0.0000 0.0000 0.5000
I 0.5000 0.5000 0.5000
N 0.0000 0.0000 0.0000

=====

Density in g/cm3, matching the order above: 9.336 5.530 4.989 4.553 4.002 9.745 5.468 6.725 7.402 2.620 15.129 7.076 6.640 2.892 6.757 9.661 10.651 2.388 4.011 6.266